Cd5In3 after structural relaxation, computed with PBE.

Calculated values
ΔH_f (0 K), meV per atom: 18
Total magnetic moment, μB/f.u.: 0.0
Space-group type: P4/mmm (123)
Raw total energy, eV/cell: -12.6

Cell: 3.202 3.202 18.958 Å, 90.00 90.00 90.00°
Element x y z (fractional)
Cd (0.000, 0.000, 0.383)
Cd (0.500, 0.500, 0.735)
Cd (0.000, 0.000, 0.617)
Cd (0.500, 0.500, 0.500)
Cd (0.500, 0.500, 0.265)
In (0.000, 0.000, 0.137)
In (0.500, 0.500, 0.000)
In (0.000, 0.000, 0.863)

=====

Cd7In2 after structural relaxation, computed with PBE.

Calculated values
ΔH_f (0 K), meV per atom: 65
Total magnetic moment, μB/f.u.: 0.0
Space-group type: R-3m (166)
Raw total energy, eV/cell: -22.6

Cell: 5.939 5.939 15.347 Å, 78.84 78.84 60.00°
Element x y z (fractional)
Cd (0.723, 0.723, 0.830)
Cd (0.500, 0.000, 0.000)
Cd (0.609, 0.609, 0.172)
Cd (0.616, 0.109, 0.660)
Cd (0.384, 0.891, 0.340)
Cd (0.616, 0.616, 0.660)
Cd (0.500, 0.500, 0.500)
Cd (0.891, 0.384, 0.340)
Cd (0.277, 0.277, 0.170)
Cd (0.000, 0.500, 0.000)
Cd (0.109, 0.616, 0.660)
Cd (0.391, 0.391, 0.828)
Cd (0.500, 0.500, 0.000)
Cd (0.384, 0.384, 0.340)
In (0.959, 0.959, 0.122)
In (0.041, 0.041, 0.878)
In (0.150, 0.150, 0.549)
In (0.850, 0.850, 0.451)

=====

Cd8In after structural relaxation, computed with PBE.

Calculated values
ΔH_f (0 K), meV per atom: 13
Total magnetic moment, μB/f.u.: 0.0
Space-group type: I4/mmm (139)
Raw total energy, eV/cell: -9.9

Cell: 7.150 7.150 7.150 Å, 95.71 95.71 143.22°
Element x y z (fractional)
Cd (0.669, 0.331, 0.000)
Cd (0.669, 0.669, 0.339)
Cd (0.335, 0.000, 0.335)
Cd (0.331, 0.669, 0.000)
Cd (0.331, 0.331, 0.661)
Cd (0.000, 0.665, 0.665)
Cd (0.000, 0.335, 0.335)
Cd (0.665, 0.000, 0.665)
In (0.000, 0.000, 0.000)

=====

Cd5In3 after structural relaxation, computed with PBE.

Calculated values
ΔH_f (0 K), meV per atom: 35
Total magnetic moment, μB/f.u.: 0.0
Space-group type: P-1 (2)
Raw total energy, eV/cell: -25.0

Cell: 8.273 8.263 8.595 Å, 88.62 91.43 137.27°
Element x y z (fractional)
Cd (0.873, 0.780, 0.321)
Cd (0.239, 0.755, 0.438)
Cd (0.269, 0.929, 0.105)
Cd (0.527, 0.791, 0.202)
Cd (0.730, 0.071, 0.895)
Cd (0.952, 0.729, 0.661)
Cd (0.473, 0.210, 0.798)
Cd (0.760, 0.245, 0.562)
Cd (0.126, 0.220, 0.679)
Cd (0.047, 0.271, 0.339)
In (0.418, 0.255, 0.417)
In (0.807, 0.383, 0.156)
In (0.581, 0.745, 0.583)
In (0.231, 0.278, 0.040)
In (0.768, 0.722, 0.960)
In (0.192, 0.617, 0.844)

=====

Cd2In7 after structural relaxation, computed with PBE.

Calculated values
ΔH_f (0 K), meV per atom: 31
Total magnetic moment, μB/f.u.: 0.0
Space-group type: P-31m (162)
Raw total energy, eV/cell: -20.7

Cell: 5.731 5.731 8.324 Å, 90.00 90.00 120.00°
Element x y z (fractional)
Cd (0.333, 0.667, 0.000)
Cd (0.667, 0.333, 0.000)
In (0.000, 0.000, 0.000)
In (0.000, 0.336, 0.673)
In (0.000, 0.664, 0.327)
In (0.664, 0.664, 0.673)
In (0.336, 0.000, 0.673)
In (0.664, 0.000, 0.327)
In (0.336, 0.336, 0.327)

=====

CdIn7 after structural relaxation, computed with PBE.

Calculated values
ΔH_f (0 K), meV per atom: 19
Total magnetic moment, μB/f.u.: 0.0
Space-group type: Fm-3m (225)
Raw total energy, eV/cell: -19.9

Cell: 6.694 6.694 6.694 Å, 60.00 60.00 60.00°
Element x y z (fractional)
In (0.000, 0.000, 0.500)
In (0.000, 0.500, 0.000)
In (0.500, 0.500, 0.000)
In (0.000, 0.500, 0.500)
In (0.500, 0.000, 0.500)
In (0.500, 0.000, 0.000)
In (0.500, 0.500, 0.500)
Cd (0.000, 0.000, 0.000)

=====

Cd5In2 after structural relaxation, computed with PBE.

Calculated values
ΔH_f (0 K), meV per atom: 35
Total magnetic moment, μB/f.u.: 0.0
Space-group type: C2/m (12)
Raw total energy, eV/cell: -9.8

Cell: 4.505 5.665 7.197 Å, 97.70 90.00 113.43°
Element x y z (fractional)
Cd (0.354, 0.708, 0.073)
Cd (0.646, 0.292, 0.927)
Cd (0.500, 0.000, 0.500)
Cd (0.214, 0.428, 0.644)
Cd (0.786, 0.572, 0.356)
In (0.927, 0.855, 0.783)
In (0.073, 0.145, 0.217)

=====

CdIn3 after structural relaxation, computed with PBE.

Calculated values
ΔH_f (0 K), meV per atom: 44
Total magnetic moment, μB/f.u.: 0.0
Space-group type: R-3m (166)
Raw total energy, eV/cell: -9.0

Cell: 3.233 3.233 11.804 Å, 82.13 82.13 60.00°
Element x y z (fractional)
In (0.000, 0.000, 0.000)
In (0.911, 0.911, 0.267)
In (0.089, 0.089, 0.733)
Cd (0.500, 0.500, 0.500)

=====

CdIn2 after structural relaxation, computed with PBE.

Calculated values
ΔH_f (0 K), meV per atom: 62
Total magnetic moment, μB/f.u.: 0.0
Space-group type: P-3m1 (164)
Raw total energy, eV/cell: -6.2

Cell: 4.885 4.885 3.908 Å, 90.00 90.00 120.00°
Element x y z (fractional)
In (0.333, 0.667, 0.312)
In (0.667, 0.333, 0.688)
Cd (0.000, 0.000, 0.000)

=====

CdIn2 after structural relaxation, computed with PBE.

Calculated values
ΔH_f (0 K), meV per atom: 186
Total magnetic moment, μB/f.u.: 0.0
Space-group type: Pa-3 (205)
Raw total energy, eV/cell: -23.3

Cell: 7.093 7.093 7.093 Å, 90.00 90.00 90.00°
Element x y z (fractional)
Cd (0.000, 0.500, 0.500)
Cd (0.000, 0.000, 0.000)
Cd (0.500, 0.500, 0.000)
Cd (0.500, 0.000, 0.500)
In (0.629, 0.871, 0.871)
In (0.371, 0.371, 0.629)
In (0.129, 0.629, 0.129)
In (0.129, 0.871, 0.629)
In (0.371, 0.129, 0.129)
In (0.629, 0.629, 0.371)
In (0.871, 0.371, 0.871)
In (0.871, 0.129, 0.371)

=====

Cd3In after structural relaxation, computed with PBE.

Calculated values
ΔH_f (0 K), meV per atom: 48
Total magnetic moment, μB/f.u.: 0.0
Space-group type: Fm-3m (225)
Raw total energy, eV/cell: -5.3

Cell: 5.175 5.175 5.175 Å, 60.00 60.00 60.00°
Element x y z (fractional)
Cd (0.500, 0.500, 0.500)
Cd (0.250, 0.250, 0.250)
Cd (0.000, 0.000, 0.000)
In (0.750, 0.750, 0.750)

=====

Cd3In4 after structural relaxation, computed with PBE.

Calculated values
ΔH_f (0 K), meV per atom: 67
Total magnetic moment, μB/f.u.: 0.0
Space-group type: R-3m (166)
Raw total energy, eV/cell: -13.2

Cell: 4.986 4.986 9.290 Å, 74.43 74.43 60.00°
Element x y z (fractional)
Cd (0.752, 0.752, 0.744)
Cd (0.000, 0.000, 0.000)
Cd (0.248, 0.248, 0.256)
In (0.380, 0.380, 0.859)
In (0.133, 0.133, 0.602)
In (0.867, 0.867, 0.398)
In (0.620, 0.620, 0.141)

=====

> Look up the ΔH_f (0 K) of the seventh one.

35 meV per atom

=====

> Which value of raw total energy does entry 7 give?

-9.8 eV/cell